(1)
VASP calculation (GGA-PBE) on a geometry-optimized Dy8Er5Th structure.

Structure (POSCAR):
```
Dy8Er5Th
1.0
-4.758 4.758 5.021
4.758 -4.758 5.021
4.758 4.758 -5.021
Dy Er Th
8 5 1
Cartesian
4.101 1.656 -0.932
1.639 -0.880 2.501
3.119 5.638 -2.521
3.102 -0.656 5.953
3.878 3.119 2.521
1.656 5.414 0.932
0.656 3.102 4.090
0.880 1.639 7.542
7.525 1.085 -0.774
1.085 1.990 0.774
0.000 0.000 5.021
-2.768 3.673 4.248
3.673 2.768 5.795
4.758 0.000 2.511
```

Computed properties:
Formation energy from the elements (eV/atom): 0.292
V (Å³/cell): 455

=====

(2)
VASP calculation (GGA-PBE) on a geometry-optimized LaCd2Br structure.

Structure (POSCAR):
```
LaCd2Br
1.0
3.787 0.000 0.000
-1.894 3.280 0.000
0.000 0.000 30.103
La Cd Br
3 6 3
Cartesian
0.000 0.000 0.000
0.000 2.187 20.068
1.894 1.093 10.034
0.000 0.000 14.827
0.000 0.000 22.700
0.000 2.187 4.792
0.000 2.187 12.666
1.894 1.093 2.632
1.894 1.093 24.861
0.000 0.000 7.886
0.000 2.187 27.954
1.894 1.093 17.920
```

Computed properties:
Energy above the lowest structure with this stoichiometry (meV/atom): 77
V (Å³/cell): 374
Uncorrected formation energy (eV/atom): -0.535

=====

(3)
VASP calculation (GGA-PBE) on a geometry-optimized Rb3NdDy2O6 structure.

Structure (POSCAR):
```
Rb3NdDy2O6
1.0
3.088 -5.349 0.000
3.088 5.349 0.000
-2.058 0.000 6.580
Rb Nd Dy O
3 1 2 6
Cartesian
0.000 0.000 0.000
3.088 1.791 0.000
3.088 -1.791 0.000
2.059 0.000 3.290
2.059 3.566 3.290
2.059 -3.566 3.290
0.998 1.838 2.125
-0.063 0.000 4.454
0.998 -1.838 2.125
3.120 1.838 4.455
4.181 0.000 2.126
3.120 -1.838 4.455
```

Computed properties:
V (Å³/cell): 217
Uncorrected formation energy (eV/atom): -2.645

=====

Among the records above, which one has the lowest V?
Rb3NdDy2O6

=====

Which value of V does entry 2 give?
374 Å³/cell